The following is a GGA-PBE calculation of a relaxed NbVP2Cl crystal, from Alexandria.

It has space group P4/mmm (No. 123), with a = 4.8470 Å, b = 4.8470 Å, c = 4.7617 Å, α = 90.00°, β = 90.00° and γ = 90.00°. The distinct sites, in fractional coordinates, are Nb at (0.0000, 0.0000, 0.0000), V at (0.5000, 0.5000, 0.5000), P at (0.0000, 0.5000, 0.0000) and Cl at (0.0000, 0.0000, 0.5000).

=====

The following is a GGA-PBE calculation of a relaxed NbVPCl2 crystal, from Alexandria.

It has space group P4/mmm (No. 123), with a = 4.8087 Å, b = 4.8087 Å, c = 5.0146 Å, α = 90.00°, β = 90.00° and γ = 90.00°. The distinct sites, in fractional coordinates, are Nb at (0.0000, 0.0000, 0.0000), V at (0.5000, 0.5000, 0.5000), P at (0.0000, 0.0000, 0.5000) and Cl at (0.0000, 0.5000, 0.0000).

=====

The following is a GGA-PBE calculation of a relaxed NbVP2Cl crystal, from Alexandria.

It has space group P4/mmm (No. 123), with a = 4.5714 Å, b = 4.5714 Å, c = 4.5806 Å, α = 90.00°, β = 90.00° and γ = 90.00°. The distinct sites, in fractional coordinates, are Nb at (0.0000, 0.0000, 0.0000), V at (0.5000, 0.5000, 0.5000), P at (0.0000, 0.5000, 0.5000) and Cl at (0.5000, 0.5000, 0.0000).

=====

The following is a GGA-PBE calculation of a relaxed NbP2WCl crystal, from Alexandria.

It has space group P4/mmm (No. 123), with a = 4.7088 Å, b = 4.7088 Å, c = 4.7271 Å, α = 90.00°, β = 90.00° and γ = 90.00°. The distinct sites, in fractional coordinates, are Nb at (0.0000, 0.0000, 0.0000), P at (0.0000, 0.5000, 0.5000), W at (0.5000, 0.5000, 0.5000) and Cl at (0.5000, 0.5000, 0.0000).

=====

The following is a GGA-PBE calculation of a relaxed NbP2WCl crystal, from Alexandria.

It has space group P4/mmm (No. 123), with a = 4.8945 Å, b = 4.8945 Å, c = 4.6525 Å, α = 90.00°, β = 90.00° and γ = 90.00°. The distinct sites, in fractional coordinates, are Nb at (0.0000, 0.0000, 0.0000), P at (0.0000, 0.5000, 0.0000), W at (0.5000, 0.5000, 0.5000) and Cl at (0.0000, 0.0000, 0.5000).

=====

The following is a GGA-PBE calculation of a relaxed YNbP2Cl crystal, from Alexandria.

It has space group P4/mmm (No. 123), with a = 5.2551 Å, b = 5.2551 Å, c = 4.9708 Å, α = 90.00°, β = 90.00° and γ = 90.00°. The distinct sites, in fractional coordinates, are Y at (0.0000, 0.0000, 0.0000), Nb at (0.5000, 0.5000, 0.5000), P at (0.0000, 0.5000, 0.0000) and Cl at (0.0000, 0.0000, 0.5000).

=====

The following is a GGA-PBE calculation of a relaxed YNbP2Cl crystal, from Alexandria.

It has space group P4/mmm (No. 123), with a = 4.9006 Å, b = 4.9006 Å, c = 4.6733 Å, α = 90.00°, β = 90.00° and γ = 90.00°. The distinct sites, in fractional coordinates, are Y at (0.0000, 0.0000, 0.0000), Nb at (0.5000, 0.5000, 0.5000), P at (0.0000, 0.5000, 0.5000) and Cl at (0.5000, 0.5000, 0.0000).

=====

The following is a GGA-PBE calculation of a relaxed NbZn2PCl crystal, from Alexandria.

It has space group P4/mmm (No. 123), with a = 4.6113 Å, b = 4.6113 Å, c = 5.1289 Å, α = 90.00°, β = 90.00° and γ = 90.00°. The distinct sites, in fractional coordinates, are Nb at (0.0000, 0.0000, 0.0000), Zn at (0.0000, 0.5000, 0.5000), P at (0.5000, 0.5000, 0.5000) and Cl at (0.5000, 0.5000, 0.0000).

=====

The following is a GGA-PBE calculation of a relaxed ZrNbPCl2 crystal, from Alexandria.

It has space group P4/mmm (No. 123), with a = 4.7299 Å, b = 4.7299 Å, c = 5.0672 Å, α = 90.00°, β = 90.00° and γ = 90.00°. The distinct sites, in fractional coordinates, are Zr at (0.0000, 0.0000, 0.0000), Nb at (0.5000, 0.5000, 0.5000), P at (0.5000, 0.5000, 0.0000) and Cl at (0.0000, 0.5000, 0.5000).

=====

The following is a GGA-PBE calculation of a relaxed ZrNbPCl2 crystal, from Alexandria.

It has space group P4/mmm (No. 123), with a = 4.8751 Å, b = 4.8751 Å, c = 5.2594 Å, α = 90.00°, β = 90.00° and γ = 90.00°. The distinct sites, in fractional coordinates, are Zr at (0.0000, 0.0000, 0.0000), Nb at (0.5000, 0.5000, 0.5000), P at (0.0000, 0.0000, 0.5000) and Cl at (0.0000, 0.5000, 0.0000).

=====

The following is a GGA-PBE calculation of a relaxed PaNb2Cl8 crystal, from Alexandria.

It has space group C2/m (No. 12), with a = 13.2943 Å, b = 7.9231 Å, c = 7.0025 Å, α = 90.00°, β = 95.35° and γ = 90.00°. The distinct sites, in fractional coordinates, are Pa at (0.0000, 0.0000, 0.0000), Nb at (0.0309, 0.5000, 0.1650), Cl at (0.1097, 0.2255, 0.2329), Cl at (0.1222, 0.5000, 0.6983) and Cl at (0.1376, 0.0000, 0.7698).

=====

The following is a GGA-PBE calculation of a relaxed Nb2PbCl6 crystal, from Alexandria.

It has space group C2/c (No. 15), with a = 11.2981 Å, b = 13.9802 Å, c = 6.1928 Å, α = 90.00°, β = 108.14° and γ = 90.00°. The distinct sites, in fractional coordinates, are Nb at (0.0895, 0.0569, 0.1593), Pb at (0.0000, 0.3822, 0.2500), Cl at (0.1167, 0.1141, 0.5908), Cl at (0.1348, 0.2336, 0.1290) and Cl at (0.1672, 0.4485, 0.6879).

=====

Formation energy from raw total energies values, unit eV per formula unit, following the record order: 3.3; 1.1; 2.3; 4.2; 5.4; 2.4; -2.3; 4.4; 0.4; 0.4; -13.9; -9.1.